{
  "formula": "TbEr2Se4",
  "functional": "PBE-GGA",
  "state": "optimized geometry",
  "lattice": [[3.931, 0.000, -1.075], [-0.669, 6.604, -2.445], [0.051, -1.030, 7.911]],
  "species": ["Tb", "Er", "Er", "Se", "Se", "Se", "Se"],
  "fractional_positions": [[0.000, 0.000, 0.000], [0.264, 0.254, 0.528], [0.736, 0.746, 0.472], [0.125, 0.802, 0.250], [0.875, 0.198, 0.750], [0.364, 0.717, 0.728], [0.636, 0.283, 0.272]],
  "total_energy_ev_per_atom": -5.779,
  "relative_energy_mev_per_atom": 4,
  "dos_ef_per_ev_fu": 2.753,
  "formation_energy_uncorrected_ev_per_atom": -1.823,
  "space_group": "C2/m"
}